Material: HfMgI2
Method: DFT, PBE-GGA
State: relaxed

abc: 5.166 5.166 5.166
angles: 60.00 60.00 60.00
Sites, in units of the cell vectors:
1 I 0.750 0.750 0.750
2 I 0.250 0.250 0.250
3 Mg 0.000 0.000 0.000
4 Hf 0.500 0.500 0.500

- Energy above the lowest structure with this stoichiometry: 0.38 eV/f.u.
- Density: 7.78 g cm⁻³
- Uncorrected formation energy: 0.159 eV per atom
- Symmetry: Fm-3m, No. 225